(1)
Density functional theory data (PBE) for MnCu2Ag after structural relaxation.

Results
The value obtained for the formation energy is 0.169 eV/atom. The value obtained for the uncorrected energy is -4.885 eV/atom. As for the space group: P4mm, No. 99. The excess energy over the best structure of this formula in the dataset comes out at 0.0206 eV per atom. The value obtained for the spin magnetization is 0.969 μB/atom.

a b c (Å): 3.0354 3.0354 6.1738
angles (deg): 90.00 90.00 90.00
Last column: nearest neighbours and their distance in Å.
Fractional positions:
Ag: 0.5000 0.5000 0.7601  5 Cu 2.71-2.97, 4 Mn 2.79, 4 Ag 3.04
Cu: 0.0000 0.0000 0.0286  4 Cu 2.51, 4 Ag 2.71, 1 Mn 2.73
Cu: 0.5000 0.5000 0.2410  4 Cu 2.51, 4 Mn 2.57
Mn: 0.0000 0.0000 0.4703  5 Cu 2.57-2.73, 4 Ag 2.79

(2)
Density functional theory data (PBE) for ZrZn2TeRu after structural relaxation.

Results
The value obtained for the uncorrected energy is -4.247 eV/atom. As for the space group: P4/mmm, No. 123. The raw formation energy is 456 meV/atom. The value obtained for the spin magnetization is 0.000 μB/atom.

a b c (Å): 4.6744 5.0578 4.6744
angles (deg): 90.00 90.00 90.00
Last column: nearest neighbours and their distance in Å.
Fractional positions:
Ru: 0.0000 0.0000 0.0000  4 Zn 2.34, 2 Te 2.53
Zn: 0.0000 0.0000 0.5000  2 Ru 2.34
Zn: 0.5000 0.0000 0.0000  2 Ru 2.34
Te: 0.0000 0.5000 0.0000  2 Ru 2.53
Zr: 0.5000 0.5000 0.5000  4 Te 3.31, 8 Zn 3.44

(3)
Density functional theory data (PBE) for TlPbSe2 after structural relaxation.

Results
The value obtained for the uncorrected energy is -3.659 eV/atom. As for the space group: P4/mmm, No. 123. The raw formation energy is -398 meV/atom. The value obtained for the spin magnetization is 0.000 μB/atom.

a b c (Å): 4.3420 4.3420 6.1806
angles (deg): 90.00 90.00 90.04
Last column: nearest neighbours and their distance in Å.
Fractional positions:
Pb: 0.5000 0.5000 0.8751  6 Se 3.07-3.09
Tl: 0.0000 0.0000 0.3751  6 Se 3.07-3.09
Se: 0.0000 0.0000 0.8751  4 Pb 3.07, 2 Tl 3.09
Se: 0.5000 0.5000 0.3746  4 Tl 3.07, 2 Pb 3.09

(4)
Density functional theory data (PBE) for ScPd4Pb after structural relaxation.

Results
The value obtained for the formation energy is -0.539 eV/atom. The value obtained for the uncorrected energy is -5.674 eV/atom. As for the space group: C2/m, No. 12. The excess energy over the best structure of this formula in the dataset comes out at 0.0000 eV per atom. The value obtained for the spin magnetization is 0.000 μB/atom.

a b c (Å): 4.9083 8.9279 4.9164
angles (deg): 90.00 75.87 90.00
Last column: nearest neighbours and their distance in Å.
Fractional positions:
Sc: 0.5000 0.0000 0.5000  10 Pd 2.86-2.98, 2 Pb 3.02
Sc: 0.0000 0.5000 0.5000  10 Pd 2.86-2.98, 2 Pb 3.02
Pd: 0.0000 0.6640 0.0001  3 Pb 2.86-3.00, 2 Sc 2.86, 7 Pd 2.89-3.02
Pd: 0.5000 0.1640 0.9999  3 Pb 2.86-3.00, 2 Sc 2.86, 7 Pd 2.89-3.02
Pd: 0.5000 0.3333 0.4999  7 Pd 2.87-3.02, 3 Sc 2.87-2.98, 2 Pb 2.87
Pd: 0.0000 0.8333 0.5001  7 Pd 2.87-3.02, 3 Sc 2.87-2.98, 2 Pb 2.87
Pd: 0.0000 0.3360 0.9999  3 Pb 2.86-3.00, 2 Sc 2.86, 7 Pd 2.89-3.02
Pd: 0.5000 0.8360 0.0001  3 Pb 2.86-3.00, 2 Sc 2.86, 7 Pd 2.89-3.02
Pd: 0.5000 0.6667 0.5001  7 Pd 2.87-3.02, 3 Sc 2.87-2.98, 2 Pb 2.87
Pd: 0.0000 0.1667 0.4999  7 Pd 2.87-3.02, 3 Sc 2.87-2.98, 2 Pb 2.87
Pb: 0.0000 0.0000 0.0000  10 Pd 2.86-3.00, 2 Sc 3.02
Pb: 0.5000 0.5000 0.0000  10 Pd 2.86-3.00, 2 Sc 3.02

- Look up the spin magnetization of the second one.
  0.000 μB/atom

- Among the records above, which one has the highest spin magnetization?
  MnCu2Ag

- Number 2 is which compound?
  ZrZn2TeRu

- What is the formula in the third record?
  TlPbSe2